Material: CrSi4O10
Method: DFT, PBE with a Hubbard U
State: relaxed

Cell: 7.1859 8.1960 9.6595 Å, 109.02 102.37 108.43°
With the nearest neighbours (Å) after each atom.
Space group P-1 (No. 2)
Asymmetric unit:
Cr1 0.2221 0.1785 0.0872 x2  4 O 1.79-1.89
Si1 0.0987 0.8982 0.2605 x2  4 O 1.62-1.68
Si2 0.2710 0.6031 0.2546 x2  4 O 1.63-1.64
Si3 0.3315 0.1201 0.7719 x2  4 O 1.62-1.65
Si4 0.4713 0.8004 0.6129 x2  4 O 1.62-1.66
O1 0.0681 0.9628 0.1121 x2  1 Si 1.68
O2 0.1031 0.1106 0.6874 x2  2 Si 1.62-1.63
O3 0.1054 0.6914 0.2060 x2  2 Si 1.62-1.64
O4 0.1525 0.3765 0.1367 x2  1 Si 1.64, 1 Cr 1.79
O5 0.3192 0.0547 0.4005 x2  2 Si 1.63-1.66
O6 0.3214 0.6380 0.4374 x2  2 Si 1.63
O7 0.3428 0.9208 0.6813 x2  2 Si 1.62-1.64
O8 0.3633 0.1563 0.9557 x2  1 Si 1.65, 1 Cr 1.79
O9 0.4510 0.2881 0.2709 x2  1 Si 1.62
O10 0.4856 0.7009 0.2256 x2  2 Si 1.62-1.63

* V: 477.3 Å³/cell
* DFT total energy: -7.7337 eV per atom
* magnetic moment: 2.00 μB per formula unit


Material: CrSi4O10
Method: DFT, PBE with a Hubbard U
State: relaxed

Cell: 7.5720 7.5720 15.7881 Å, 90.00 90.00 90.00°
With the nearest neighbours (Å) after each atom.
Space group P4/ncc (No. 130, origin choice 2)
Asymmetric unit:
Cr1 0.2500 0.2500 0.0851 x4  4 O 1.84
Si1 0.0278 0.0586 0.3489 x16  4 O 1.62-1.63
O1 0.0027 0.2317 0.8680 x16  2 Si 1.63
O2 0.0187 0.5187 0.2500 x8  2 Si 1.63
O3 0.0543 0.1057 0.0920 x16  1 Si 1.62

* V: 905.2 Å³/cell
* DFT total energy: -7.6161 eV per atom
* magnetic moment: 2.00 μB per formula unit


Material: CrSiO2
Method: DFT, PBE with a Hubbard U
State: relaxed

Cell: 2.7334 2.7334 27.1661 Å, 90.00 90.00 120.00°
With the nearest neighbours (Å) after each atom.
Space group R-3m (No. 166, hexagonal axes)
Asymmetric unit:
Cr1 0.0000 0.0000 0.0000 x3  6 Cr 2.73
Si1 0.0000 0.0000 0.5000 x3  6 O 1.82
O1 0.0000 0.0000 0.1333 x6  3 Si 1.82

* V: 175.8 Å³/cell
* DFT total energy: -6.5016 eV per atom
* magnetic moment: 0.04 μB per formula unit


> DFT total energy of number 3 (CrSiO2)?

-6.5016 eV per atom